No. 1
A relaxed TbZn4Ni8 crystal, computed with PBE.

Unit cell a=6.3701 b=6.3701 c=6.3701 alpha=98.51 beta=98.51 gamma=134.76
Element x y z (fractional)
Tb (0.0000, 0.0000, 0.0000)
Zn (0.0000, 0.0000, 0.5000)
Zn (0.0000, 0.5000, 0.0000)
Zn (0.5000, 0.0000, 0.0000)
Zn (0.5000, 0.5000, 0.5000)
Ni (0.0000, 0.3566, 0.3566)
Ni (0.0000, 0.6434, 0.6434)
Ni (0.2747, 0.5000, 0.7747)
Ni (0.3566, 0.0000, 0.3566)
Ni (0.5000, 0.2747, 0.7747)
Ni (0.5000, 0.7253, 0.2253)
Ni (0.6434, 0.0000, 0.6434)
Ni (0.7253, 0.5000, 0.2253)

Computed properties:
ΔE_f = -0.206 eV per atom

=====

No. 2
A relaxed TaMnH2 crystal, computed with PBE.

Unit cell a=3.6424 b=3.6424 c=3.6424 alpha=60.00 beta=60.00 gamma=60.00
Element x y z (fractional)
Ta (0.0000, 0.0000, 0.0000)
Mn (0.5000, 0.5000, 0.5000)
H (0.2500, 0.2500, 0.2500)
H (0.7500, 0.7500, 0.7500)

Computed properties:
Total DFT energy (no corrections) = -6.469 eV/atom

=====

No. 3
A relaxed TbNdEr2Tm5 crystal, computed with PBE.

Unit cell a=10.1924 b=10.1924 c=10.4832 alpha=90.00 beta=90.00 gamma=148.41
Element x y z (fractional)
Tb (0.2006, 0.7994, 0.5000)
Tb (0.7994, 0.2006, 0.0000)
Nd (0.4169, 0.5831, 0.9393)
Nd (0.5831, 0.4169, 0.4393)
Er (0.1104, 0.8896, 0.2230)
Er (0.1131, 0.8869, 0.8073)
Er (0.8869, 0.1131, 0.3073)
Er (0.8896, 0.1104, 0.7230)
Tm (0.0179, 0.9821, 0.5140)
Tm (0.2816, 0.7184, 0.7988)
Tm (0.2987, 0.7013, 0.1982)
Tm (0.3891, 0.6109, 0.5105)
Tm (0.4781, 0.5219, 0.2238)
Tm (0.5219, 0.4781, 0.7238)
Tm (0.6109, 0.3891, 0.0105)
Tm (0.7013, 0.2987, 0.6982)
Tm (0.7184, 0.2816, 0.2988)
Tm (0.9821, 0.0179, 0.0140)

Computed properties:
ΔE_f = 0.166 eV per atom

=====

No. 4
A relaxed Hf2CuF2 crystal, computed with PBE.

Unit cell a=6.7592 b=6.7592 c=6.7592 alpha=151.54 beta=151.54 gamma=40.68
Element x y z (fractional)
Hf (0.1217, 0.1217, 0.0000)
Hf (0.8783, 0.8783, 0.0000)
Cu (0.5000, 0.5000, 0.0000)
F (0.2500, 0.7500, 0.5000)
F (0.7500, 0.2500, 0.5000)

Computed properties:
Total DFT energy (no corrections) = -7.206 eV/atom

=====

No. 5
A relaxed TlPdRh crystal, computed with PBE.

Unit cell a=11.9247 b=11.9247 c=11.9247 alpha=165.22 beta=165.22 gamma=20.96
Element x y z (fractional)
Tl (0.1341, 0.1341, 0.0000)
Tl (0.8659, 0.8659, 0.0000)
Pd (0.4436, 0.4436, 0.0000)
Pd (0.5564, 0.5564, 0.0000)
Rh (0.2853, 0.2853, 0.0000)
Rh (0.7147, 0.7147, 0.0000)

Computed properties:
ΔE_f = 0.200 eV per atom

=====

No. 6
A relaxed CdTc2Ru crystal, computed with PBE.

Unit cell a=5.8142 b=5.8142 c=5.8142 alpha=101.99 beta=101.99 gamma=125.76
Element x y z (fractional)
Cd (0.0000, 0.0000, 0.0000)
Cd (0.7500, 0.2500, 0.5000)
Tc (0.1786, 0.6250, 0.0536)
Tc (0.3750, 0.4286, 0.5536)
Tc (0.5714, 0.1250, 0.9464)
Tc (0.8750, 0.8214, 0.4464)
Ru (0.2500, 0.7500, 0.5000)
Ru (0.5000, 0.5000, 0.0000)

Computed properties:
ΔE_f = 0.808 eV per atom

=====

No. 7
A relaxed MgZnAsO4 crystal, computed with PBE.

Unit cell a=6.0666 b=6.0666 c=6.0666 alpha=121.77 beta=117.65 gamma=90.54
Element x y z (fractional)
Mg (0.0000, 0.0000, 0.0000)
Mg (0.5000, 0.0000, 0.5000)
Zn (0.5000, 0.0000, 0.0000)
Zn (0.5000, 0.5000, 0.5000)
As (0.1115, 0.3615, 0.7500)
As (0.8885, 0.6385, 0.2500)
O (0.2399, 0.2416, 0.5017)
O (0.2399, 0.7381, 0.9983)
O (0.2620, 0.2438, 0.0182)
O (0.2745, 0.7562, 0.5182)
O (0.7255, 0.2438, 0.4818)
O (0.7380, 0.7562, 0.9818)
O (0.7601, 0.2619, 0.0017)
O (0.7601, 0.7584, 0.4983)

Computed properties:
Total DFT energy (no corrections) = -5.481 eV/atom

=====

No. 8
A relaxed Th2BiSe crystal, computed with PBE.

Unit cell a=8.5775 b=8.5775 c=8.5775 alpha=27.86 beta=27.86 gamma=27.86
Element x y z (fractional)
Th (0.0000, 0.0000, 0.0000)
Th (0.1581, 0.1581, 0.1581)
Bi (0.5791, 0.5791, 0.5791)
Se (0.4120, 0.4120, 0.4120)

Computed properties:
Total DFT energy (no corrections) = -6.471 eV/atom

=====

No. 9
A relaxed BeW crystal, computed with PBE.

Unit cell a=7.2611 b=7.2611 c=3.3219 alpha=90.00 beta=90.00 gamma=120.00
Element x y z (fractional)
Be (0.0498, 0.1876, 0.2500)
Be (0.1378, 0.9502, 0.2500)
Be (0.1876, 0.1378, 0.7500)
Be (0.8124, 0.8622, 0.2500)
Be (0.8622, 0.0498, 0.7500)
Be (0.9502, 0.8124, 0.7500)
W (0.1105, 0.4461, 0.7500)
W (0.3356, 0.8895, 0.7500)
W (0.4461, 0.3356, 0.2500)
W (0.5539, 0.6644, 0.7500)
W (0.6644, 0.1105, 0.2500)
W (0.8895, 0.5539, 0.2500)

Computed properties:
ΔE_f = 0.401 eV per atom

=====

No. 10
A relaxed Li5Ga2Ag12 crystal, computed with PBE.

Unit cell a=9.3163 b=9.3163 c=4.6305 alpha=104.00 beta=104.00 gamma=58.71
Element x y z (fractional)
Li (0.0000, 0.0000, 0.0000)
Li (0.1975, 0.1975, 0.1886)
Li (0.2994, 0.2994, 0.7864)
Li (0.7006, 0.7006, 0.2136)
Li (0.8025, 0.8025, 0.8114)
Ga (0.2466, 0.7534, 0.5000)
Ga (0.7534, 0.2466, 0.5000)
Ag (0.0510, 0.5458, 0.2975)
Ag (0.0964, 0.0964, 0.5914)
Ag (0.1662, 0.6454, 0.9046)
Ag (0.3546, 0.8338, 0.0954)
Ag (0.4076, 0.4076, 0.3909)
Ag (0.4542, 0.9490, 0.7025)
Ag (0.5458, 0.0510, 0.2975)
Ag (0.5924, 0.5924, 0.6091)
Ag (0.6454, 0.1662, 0.9046)
Ag (0.8338, 0.3546, 0.0954)
Ag (0.9036, 0.9036, 0.4086)
Ag (0.9490, 0.4542, 0.7025)

Computed properties:
ΔE_f = -0.111 eV per atom

=====

No. 11
A relaxed AcSeO crystal, computed with PBE.

Unit cell a=8.6714 b=8.6714 c=8.6714 alpha=153.86 beta=153.86 gamma=37.31
Element x y z (fractional)
Ac (0.1596, 0.1596, 0.0000)
Ac (0.8404, 0.8404, 0.0000)
Se (0.0000, 0.5000, 0.5000)
Se (0.5000, 0.0000, 0.5000)
O (0.3059, 0.3059, 0.0000)
O (0.6941, 0.6941, 0.0000)

Computed properties:
Total DFT energy (no corrections) = -6.399 eV/atom

=====

No. 12
A relaxed YSc2In crystal, computed with PBE.

Unit cell a=10.6479 b=10.6479 c=10.6479 alpha=18.38 beta=18.38 gamma=18.38
Element x y z (fractional)
Y (0.0000, 0.0000, 0.0000)
Sc (0.2454, 0.2454, 0.2454)
Sc (0.4217, 0.4217, 0.4217)
In (0.8337, 0.8337, 0.8337)

Computed properties:
ΔE_f = -0.118 eV per atom